GGA+U Fe3SiF, optimized geometry; uncorrected energy = -21.47 eV for the cell shown; magnetic moment = 9.968 μB per formula unit; energy above the most stable polymorph in this dataset = 0.000 eV/atom
1.0
-0.7250 -4.0714 -0.0587
3.5836 -0.6097 -1.9726
1.9332 -0.3967 3.6346
Si Fe F
1 3 1
direct
0.5000 0.5000 0.5000
0.5000 0.0000 0.0000
0.0000 0.5000 0.0000
0.0000 0.0000 0.5000
0.0000 0.0000 0.0000